Entry 1:
An optimized crystal structure of PrSm7Ho4. Source: Alexandria via LeMat-Bulk, functional PBE.

a b c (Å): 6.285 7.258 8.947
angles (deg): 90.02 103.53 90.00
Fractional positions:
Pr  0.000  0.000  0.000
Sm  0.000  0.500  0.000
Sm  0.223  0.000  0.665
Sm  0.280  0.748  0.336
Sm  0.500  0.253  0.001
Sm  0.500  0.747  0.999
Sm  0.720  0.252  0.664
Sm  0.777  0.000  0.335
Ho  0.219  0.500  0.665
Ho  0.278  0.253  0.335
Ho  0.722  0.747  0.665
Ho  0.781  0.500  0.335

- Total magnetization: 0.000 μB per formula unit
- Symmetry: No. 2
- Crystal system: triclinic
- DFT formation energy: 0.0008 eV/atom

=====

Entry 2:
An optimized crystal structure of PrSm2Ho5. Source: Alexandria via LeMat-Bulk, functional PBE.

a b c (Å): 9.580 9.580 6.468
angles (deg): 96.44 96.44 62.31
Fractional positions:
Pr  0.000  0.500  0.000
Pr  0.500  0.000  0.500
Sm  0.171  0.678  0.887
Sm  0.322  0.829  0.613
Sm  0.678  0.171  0.387
Sm  0.829  0.322  0.113
Ho  0.009  0.189  0.640
Ho  0.189  0.009  0.140
Ho  0.215  0.395  0.481
Ho  0.395  0.215  0.981
Ho  0.444  0.556  0.250
Ho  0.556  0.444  0.750
Ho  0.605  0.785  0.019
Ho  0.785  0.605  0.519
Ho  0.811  0.991  0.860
Ho  0.991  0.811  0.360

- Total magnetization: 0.000 μB per formula unit
- Symmetry: No. 15
- Crystal system: monoclinic
- DFT formation energy: 0.1750 eV/atom